1.
A plane-wave DFT calculation with GGA-PBEsol was carried out for a relaxed structure of Cd3PbCl.

Distance to the lowest polymorph of the same formula, meV per atom: 0
Raw formation energy, eV/atom: 0.180

The structure in POSCAR format:
```
Cd3PbCl
1.0
5.567 0.000 0.000
0.000 5.567 0.000
0.000 0.000 5.567
Cd Pb Cl
3 1 1
Direct
0.500 0.000 0.000
0.000 0.500 0.000
0.000 0.000 0.500
0.000 0.000 0.000
0.500 0.500 0.500
```

---

2.
A plane-wave DFT calculation with GGA-PBEsol was carried out for a relaxed structure of Cd2PbCl.

Distance to the lowest polymorph of the same formula, meV per atom: 37
Raw formation energy, eV/atom: -0.156

The structure in POSCAR format:
```
Cd2PbCl
1.0
-2.412 -0.198 2.354
-2.183 -4.103 -2.581
3.012 -3.366 2.803
Cd Cl Pb
2 1 1
Direct
0.000 0.000 0.500
0.000 0.500 0.000
0.500 0.500 0.500
0.500 0.000 0.000
```

---

Number 1: magnetic moment 0.00 μB per cell. Number 2: magnetic moment 0.00 μB per cell.